This record from Alexandria via LeMat-Bulk describes a relaxed structure of RuPtCl2. The functional is GGA-PBE.

Its density of states at the Fermi level is 1.464 states/eV per atom. The calculation puts the total DFT energy (no corrections) at -4.516 eV per atom. The energy above the most stable polymorph in this dataset is 0.212 eV/atom. As for the space-group type: Immm. The formation energy (no corrections) is 0.95 eV/f.u.

a b c (Å): 7.113 7.113 7.113
angles (deg): 156.52 141.61 45.50
Fractional coordinates of all 4 atoms:
1 Cl 0.394 0.394 0.000
2 Cl 0.106 0.106 0.000
3 Pt 0.750 0.250 0.500
4 Ru 0.250 0.750 0.500